Crystalline ZrSc2TiH at its relaxed geometry, computed with PBE-GGA.

Output
Total moment = 0.000 μB per atom
Energy = -6.581 eV/atom

Geometry as POSCAR:
```
ZrSc2TiH
1.0
-0.283 -0.011 4.418
1.150 -4.275 0.063
4.284 1.157 0.278
Sc H Zr Ti
2 1 1 1
direct
0.000 0.500 0.000
0.500 0.000 0.000
0.000 0.000 0.000
0.500 0.500 0.500
0.000 0.000 0.500
```